## ErIrS2 (PBE-GGA)

Data for a geometry-optimized ErIrS2 structure.

Symmetry: No. 166
Total magnetic moment: 0.0 Bohr magnetons per cell
E: -5.916 eV/atom

Unit cell a=7.956 b=7.956 c=7.956 alpha=26.59 beta=26.59 gamma=26.59
Atoms (fractional coordinates):
Er: 0.000 0.000 0.000
Ir: 0.500 0.500 0.500
S: 0.117 0.117 0.117
S: 0.883 0.883 0.883

=====

## Er5IrS4 (PBE-GGA)

Data for a geometry-optimized Er5IrS4 structure.

Symmetry: No. 139
Total magnetic moment: 0.0 Bohr magnetons per cell
E: -6.515 eV/atom

Unit cell a=14.215 b=14.215 c=14.215 alpha=164.22 beta=164.22 gamma=22.39
Atoms (fractional coordinates):
Er: 0.000 0.000 0.000
Er: 0.204 0.204 0.000
Er: 0.402 0.402 0.000
Er: 0.598 0.598 0.000
Er: 0.796 0.796 0.000
Ir: 0.500 0.500 0.000
S: 0.105 0.105 0.000
S: 0.302 0.302 0.000
S: 0.698 0.698 0.000
S: 0.895 0.895 0.000